First-principles (PBE-GGA) data for an optimized crystal structure of Nd4Ga12Pd, as listed in Alexandria via LeMat-Bulk.

```
Nd4Ga12Pd
1.0
-4.3988 4.3988 4.3988
4.3988 -4.3988 4.3988
4.3988 4.3988 -4.3988
Nd Ga Pd
4 12 1
direct
0.0000 0.0000 0.5000
0.0000 0.5000 0.0000
0.5000 0.0000 0.0000
0.5000 0.5000 0.5000
0.0000 0.2968 0.2968
0.0000 0.7032 0.7032
0.2500 0.5000 0.7500
0.2500 0.7500 0.5000
0.2968 0.0000 0.2968
0.2968 0.2968 0.0000
0.5000 0.2500 0.7500
0.5000 0.7500 0.2500
0.7032 0.0000 0.7032
0.7032 0.7032 0.0000
0.7500 0.2500 0.5000
0.7500 0.5000 0.2500
0.0000 0.0000 0.0000
```

Summary:
D(E_F)   1.58 states/eV per cell
Symmetry   Im-3m (229)
E_tot   -4.1872 eV/atom
M_tot   0.00 μB/f.u.
Crystal system   cubic
Formation energy   -60.14 kJ/mol of atoms